Computed, not measured: a geometry-optimized CsPt2Cl structure at the PBE level of DFT.

a = 5.5867 Å, b = 5.5867 Å, c = 8.5850 Å
α = 71.01°, β = 71.01°, γ = 90.00°
Closest atoms and distances in Å follow each position.
Element x y z (fractional)
Cs  0.0000  0.0000  0.0000  8 Pt 3.66, 4 Cl 3.95
Cs  0.7500  0.2500  0.5000  8 Pt 3.66, 4 Cl 3.95
Pt  0.3749  0.1250  0.2500  2 Cl 2.36
Pt  0.3751  0.6250  0.2500  2 Cl 2.36
Pt  0.3750  0.6251  0.7500  2 Cl 2.36
Pt  0.8750  0.6249  0.7500  2 Cl 2.36
Cl  0.5000  0.5000  0.0000  4 Pt 2.36
Cl  0.2500  0.7500  0.5000  4 Pt 2.36

## Properties
- polymorph energy (0 for the lowest one) (meV/atom) = 0.0
- SG = I4_1/amd, No. 141
- crystal system = tetragonal
- formation energy without anion corrections (eV/atom) = 0.0607
- density of states at the Fermi level (states/eV per atom) = 0.41